# YTl2WO6, relaxed, DFT PBE with a Hubbard U
# - total magnetization (μB/f.u.) = 0.22
# - calculated total energy (eV per cell) = -398.10
data_YTl2WO6
_chemical_formula_sum 'Y6 Tl12 W6 O36'
_symmetry_space_group_name_H-M 'R -3 m'
_symmetry_Int_Tables_number 166
_symmetry_space_group_name_Hall '-R 3 2"'
_cell_length_a 6.2579
_cell_length_b 6.2579
_cell_length_c 30.1016
_cell_angle_alpha 90.00
_cell_angle_beta 90.00
_cell_angle_gamma 120.00
loop_
_atom_site_label
_atom_site_fract_x
_atom_site_fract_y
_atom_site_fract_z
Y1 0.0000 0.0000 0.1034
Tl1 0.0000 0.0000 0.2518
Tl2 0.0000 0.0000 0.3798
W1 0.0000 0.0000 0.0000
W2 0.0000 0.0000 0.5000
O1 0.0411 0.5206 0.2045
O2 0.0499 0.5250 0.6265